Below is a geometry-optimized TlFe2Cu structure, with properties calculated at the GGA-PBE level.

Results
electronic total energy: -5.409 eV per atom
energy relative to the elements: 0.44 eV per atom
Fermi-level density of states: 0.650 states/eV/atom

```
data_TlFe2Cu
_chemical_formula_sum 'Tl2 Fe4 Cu2'
_symmetry_space_group_name_H-M 'I m m 2'
_symmetry_Int_Tables_number 44
_cell_length_a 3.257
_cell_length_b 4.349
_cell_length_c 8.372
_cell_angle_alpha 90.00
_cell_angle_beta 90.00
_cell_angle_gamma 90.00
loop_
_symmetry_equiv_pos_as_xyz
'x,y,z'
'-x,-y,z'
'-x,y,z'
'x,-y,z'
'x+1/2,y+1/2,z+1/2'
'-x+1/2,-y+1/2,z+1/2'
'-x+1/2,y+1/2,z+1/2'
'x+1/2,-y+1/2,z+1/2'
loop_
_atom_site_label
_atom_site_fract_x
_atom_site_fract_y
_atom_site_fract_z
_atom_site_occupancy
Tl1 0.000 0.000 0.000 1
Fe1 0.000 0.000 0.515 1
Fe2 0.000 0.500 0.229 1
Cu1 0.000 0.500 0.765 1
```

Below is a geometry-optimized TlFe2Cu structure, with properties calculated at the GGA-PBE level.

Results
electronic total energy: -5.314 eV per atom
energy relative to the elements: 0.53 eV per atom
Fermi-level density of states: 0.753 states/eV/atom

```
data_TlFe2Cu
_chemical_formula_sum 'Tl3 Fe6 Cu3'
_symmetry_space_group_name_H-M 'R 3 m'
_symmetry_Int_Tables_number 160
_symmetry_space_group_name_Hall 'R 3 -2"'
_cell_length_a 3.0311
_cell_length_b 3.0311
_cell_length_c 24.2530
_cell_angle_alpha 90.00
_cell_angle_beta 90.00
_cell_angle_gamma 120.00
loop_
_atom_site_label
_atom_site_fract_x
_atom_site_fract_y
_atom_site_fract_z
_atom_site_occupancy
Tl1 0.0000 0.0000 0.0000 1
Fe1 0.0000 0.0000 0.4973 1
Fe2 0.0000 0.0000 0.7621 1
Cu1 0.0000 0.0000 0.2398 1
```

Below is a geometry-optimized TlFe2Cu structure, with properties calculated at the GGA-PBE level.

Results
electronic total energy: -5.447 eV per atom
energy relative to the elements: 0.40 eV per atom
Fermi-level density of states: 0.604 states/eV/atom

```
data_TlFe2Cu
_chemical_formula_sum 'Tl1 Fe2 Cu1'
_symmetry_space_group_name_H-M 'P 4/m m m'
_symmetry_Int_Tables_number 123
_symmetry_space_group_name_Hall '-P 4 2'
_cell_length_a 3.780
_cell_length_b 3.780
_cell_length_c 4.101
_cell_angle_alpha 90.00
_cell_angle_beta 90.00
_cell_angle_gamma 90.00
loop_
_atom_site_label
_atom_site_fract_x
_atom_site_fract_y
_atom_site_fract_z
_atom_site_occupancy
Tl1 0.000 0.000 0.000 1
Fe1 0.000 0.500 0.500 1
Cu1 0.500 0.500 0.000 1
```

Below is a geometry-optimized Tl3FeCu structure, with properties calculated at the GGA-PBE level.

Results
electronic total energy: -3.277 eV per atom
energy relative to the elements: 0.65 eV per atom
Fermi-level density of states: 1.049 states/eV/atom

```
data_Tl3FeCu
_chemical_formula_sum 'Tl3 Fe1 Cu1'
_symmetry_space_group_name_H-M 'P m -3 m'
_symmetry_Int_Tables_number 221
_symmetry_space_group_name_Hall '-P 4 2 3'
_cell_length_a 5.126
_cell_length_b 5.126
_cell_length_c 5.126
_cell_angle_alpha 90.00
_cell_angle_beta 90.00
_cell_angle_gamma 90.00
loop_
_atom_site_label
_atom_site_fract_x
_atom_site_fract_y
_atom_site_fract_z
_atom_site_occupancy
Tl1 0.000 0.000 0.500 1
Fe1 0.000 0.000 0.000 1
Cu1 0.500 0.500 0.500 1
```

Below is a geometry-optimized TlFe2Cu structure, with properties calculated at the GGA-PBE level.

Results
electronic total energy: -5.451 eV per atom
energy relative to the elements: 0.40 eV per atom
Fermi-level density of states: 0.596 states/eV/atom

```
data_TlFe2Cu
_chemical_formula_sum 'Tl2 Fe4 Cu2'
_symmetry_space_group_name_H-M 'I 4/m m m'
_symmetry_Int_Tables_number 139
_symmetry_space_group_name_Hall '-I 4 2'
_cell_length_a 3.775
_cell_length_b 3.775
_cell_length_c 8.220
_cell_angle_alpha 90.00
_cell_angle_beta 90.00
_cell_angle_gamma 90.00
loop_
_atom_site_label
_atom_site_fract_x
_atom_site_fract_y
_atom_site_fract_z
_atom_site_occupancy
Tl1 0.000 0.000 0.000 1
Fe1 0.000 0.500 0.250 1
Cu1 0.000 0.000 0.500 1
```

Below is a geometry-optimized Tl2FeCu structure, with properties calculated at the GGA-PBE level.

Results
electronic total energy: -3.678 eV per atom
energy relative to the elements: 0.64 eV per atom
Fermi-level density of states: 0.938 states/eV/atom

```
data_Tl2FeCu
_chemical_formula_sum 'Tl4 Fe2 Cu2'
_symmetry_space_group_name_H-M 'I m m m'
_symmetry_Int_Tables_number 71
_symmetry_space_group_name_Hall '-I 2 2'
_cell_length_a 3.197
_cell_length_b 5.590
_cell_length_c 9.011
_cell_angle_alpha 90.00
_cell_angle_beta 90.00
_cell_angle_gamma 90.00
loop_
_atom_site_label
_atom_site_fract_x
_atom_site_fract_y
_atom_site_fract_z
_atom_site_occupancy
Tl1 0.000 0.000 0.246 1
Fe1 0.000 0.500 0.000 1
Cu1 0.000 0.500 0.500 1
```

Below is a geometry-optimized Tl2FeCu structure, with properties calculated at the GGA-PBE level.

Results
electronic total energy: -3.580 eV per atom
energy relative to the elements: 0.74 eV per atom
Fermi-level density of states: 1.314 states/eV/atom

```
data_Tl2FeCu
_chemical_formula_sum 'Tl8 Fe4 Cu4'
_symmetry_space_group_name_H-M 'F -4 3 m'
_symmetry_Int_Tables_number 216
_symmetry_space_group_name_Hall 'F -4 2 3'
_cell_length_a 6.891
_cell_length_b 6.891
_cell_length_c 6.891
_cell_angle_alpha 90.00
_cell_angle_beta 90.00
_cell_angle_gamma 90.00
loop_
_atom_site_label
_atom_site_fract_x
_atom_site_fract_y
_atom_site_fract_z
_atom_site_occupancy
Tl1 0.000 0.000 0.000 1
Tl2 0.250 0.250 0.250 1
Fe1 0.250 0.250 0.750 1
Cu1 0.000 0.000 0.500 1
```

Below is a geometry-optimized Tl2FeCu structure, with properties calculated at the GGA-PBE level.

Results
electronic total energy: -3.754 eV per atom
energy relative to the elements: 0.57 eV per atom
Fermi-level density of states: 0.954 states/eV/atom

```
data_Tl2FeCu
_chemical_formula_sum 'Tl2 Fe1 Cu1'
_symmetry_space_group_name_H-M 'P 1 2/m 1'
_symmetry_Int_Tables_number 10
_cell_length_a 3.219
_cell_length_b 3.373
_cell_length_c 6.995
_cell_angle_alpha 90.00
_cell_angle_beta 92.59
_cell_angle_gamma 90.00
loop_
_symmetry_equiv_pos_as_xyz
'x,y,z'
'-x,-y,-z'
'-x,y,-z'
'x,-y,z'
loop_
_atom_site_label
_atom_site_fract_x
_atom_site_fract_y
_atom_site_fract_z
_atom_site_occupancy
Tl1 0.003 0.000 0.252 1
Fe1 0.500 0.500 0.000 1
Cu1 0.500 0.500 0.500 1
```

> The highest Fermi-level density of states belongs to which entry?

number 7

> Which of these has the highest Fermi-level density of states?

number 7

Please write out number 4 again, unchanged.
Below is a geometry-optimized Tl3FeCu structure, with properties calculated at the GGA-PBE level.

Results
electronic total energy: -3.277 eV per atom
energy relative to the elements: 0.65 eV per atom
Fermi-level density of states: 1.049 states/eV/atom

```
data_Tl3FeCu
_chemical_formula_sum 'Tl3 Fe1 Cu1'
_symmetry_space_group_name_H-M 'P m -3 m'
_symmetry_Int_Tables_number 221
_symmetry_space_group_name_Hall '-P 4 2 3'
_cell_length_a 5.126
_cell_length_b 5.126
_cell_length_c 5.126
_cell_angle_alpha 90.00
_cell_angle_beta 90.00
_cell_angle_gamma 90.00
loop_
_atom_site_label
_atom_site_fract_x
_atom_site_fract_y
_atom_site_fract_z
_atom_site_occupancy
Tl1 0.000 0.000 0.500 1
Fe1 0.000 0.000 0.000 1
Cu1 0.500 0.500 0.500 1
```